1.
This record from the Alexandria database describes a relaxed Ce2Si3Ir4Au crystal. The functional is PBE.

## Properties
E_tot: -75.2 eV for the cell shown

Unit cell a=4.0667 b=4.0667 c=10.8773 alpha=90.00 beta=90.00 gamma=90.00
Atoms (fractional coordinates):
Ce 0.0000 0.5000 0.2470
Ce 0.5000 0.0000 0.7530
Si 0.0000 0.0000 0.0000
Si 0.0000 0.5000 0.6182
Si 0.5000 0.0000 0.3818
Ir 0.0000 0.0000 0.5000
Ir 0.0000 0.5000 0.8327
Ir 0.5000 0.0000 0.1673
Ir 0.5000 0.5000 0.5000
Au 0.5000 0.5000 0.0000



2.
This record from the Alexandria database describes a relaxed Ac3RuBr2 crystal. The functional is PBE.

## Properties
E above lowest polymorph: 59.0 meV per atom

Unit cell a=7.9492 b=7.9492 c=7.4248 alpha=100.80 beta=100.80 gamma=113.44
Atoms (fractional coordinates):
Ac 0.0000 0.5000 0.5000
Ac 0.1155 0.2606 0.0005
Ac 0.2606 0.1155 0.5005
Ac 0.5000 0.0000 0.0000
Ac 0.7394 0.8845 0.4995
Ac 0.8845 0.7394 0.9995
Ru 0.0980 0.9020 0.7500
Ru 0.9020 0.0980 0.2500
Br 0.2785 0.7215 0.2500
Br 0.4279 0.5721 0.7500
Br 0.5721 0.4279 0.2500
Br 0.7215 0.2785 0.7500



3.
This record from the Alexandria database describes a relaxed TmMgMo crystal. The functional is PBE.

## Properties
formation enthalpy at 0 K: 0.522 eV per atom

Unit cell a=9.1016 b=8.7509 c=4.3908 alpha=80.25 beta=71.36 gamma=28.39
Atoms (fractional coordinates):
Tm 0.0996 0.0996 0.9004
Tm 0.9004 0.9004 0.0996
Mg 0.2500 0.2500 0.2500
Mg 0.7500 0.7500 0.7500
Mo 0.3362 0.6638 0.3362
Mo 0.6638 0.3362 0.6638



4.
This record from the Alexandria database describes a relaxed TbPm6Y2Tm crystal. The functional is PBE.

## Properties
formation enthalpy at 0 K: 0.119 eV per atom

Unit cell a=8.9392 b=8.9392 c=9.5503 alpha=93.34 beta=93.34 gamma=117.36
Atoms (fractional coordinates):
Tb 0.0295 0.9705 0.7500
Tb 0.9705 0.0295 0.2500
Pm 0.0091 0.5637 0.6883
Pm 0.1188 0.7627 0.0561
Pm 0.2373 0.8812 0.4439
Pm 0.2914 0.5146 0.8833
Pm 0.4363 0.9909 0.8117
Pm 0.4854 0.7086 0.6167
Pm 0.5146 0.2914 0.3833
Pm 0.5637 0.0091 0.1883
Pm 0.7086 0.4854 0.1167
Pm 0.7627 0.1188 0.5561
Pm 0.8812 0.2373 0.9439
Pm 0.9909 0.4363 0.3117
Y 0.2030 0.3004 0.5473
Y 0.3004 0.2030 0.0473
Y 0.6996 0.7970 0.9527
Y 0.7970 0.6996 0.4527
Tm 0.4115 0.5885 0.2500
Tm 0.5885 0.4115 0.7500



5.
This record from the Alexandria database describes a relaxed LiY2Al2Pd5 crystal. The functional is PBE.

## Properties
formation enthalpy at 0 K: -0.719 eV per atom

Unit cell a=10.2504 b=10.2504 c=3.4018 alpha=90.00 beta=90.00 gamma=90.00
Atoms (fractional coordinates):
Li 0.0000 0.0000 0.0000
Li 0.5000 0.5000 0.0000
Y 0.1738 0.3262 0.0000
Y 0.3262 0.8262 0.0000
Y 0.6738 0.1738 0.0000
Y 0.8262 0.6738 0.0000
Al 0.1272 0.6272 0.0000
Al 0.3728 0.1272 0.0000
Al 0.6272 0.8728 0.0000
Al 0.8728 0.3728 0.0000
Pd 0.0000 0.5000 0.5000
Pd 0.0608 0.7978 0.5000
Pd 0.2022 0.0608 0.5000
Pd 0.2978 0.5608 0.5000
Pd 0.4392 0.2978 0.5000
Pd 0.5000 0.0000 0.5000
Pd 0.5608 0.7022 0.5000
Pd 0.7022 0.4392 0.5000
Pd 0.7978 0.9392 0.5000
Pd 0.9392 0.2022 0.5000



6.
This record from the Alexandria database describes a relaxed CrCu3B crystal. The functional is PBE.

## Properties
E above lowest polymorph: 0.0 meV per atom
formation enthalpy at 0 K: 0.362 eV per atom

Unit cell a=3.9631 b=3.9631 c=3.9631 alpha=90.00 beta=90.00 gamma=90.00
Atoms (fractional coordinates):
Cr 0.0000 0.0000 0.0000
Cu 0.0000 0.5000 0.5000
Cu 0.5000 0.0000 0.5000
Cu 0.5000 0.5000 0.0000
B 0.5000 0.5000 0.5000



Please write out number 4 again, unchanged.
This record from the Alexandria database describes a relaxed TbPm6Y2Tm crystal. The functional is PBE.

## Properties
formation enthalpy at 0 K: 0.119 eV per atom

Unit cell a=8.9392 b=8.9392 c=9.5503 alpha=93.34 beta=93.34 gamma=117.36
Atoms (fractional coordinates):
Tb 0.0295 0.9705 0.7500
Tb 0.9705 0.0295 0.2500
Pm 0.0091 0.5637 0.6883
Pm 0.1188 0.7627 0.0561
Pm 0.2373 0.8812 0.4439
Pm 0.2914 0.5146 0.8833
Pm 0.4363 0.9909 0.8117
Pm 0.4854 0.7086 0.6167
Pm 0.5146 0.2914 0.3833
Pm 0.5637 0.0091 0.1883
Pm 0.7086 0.4854 0.1167
Pm 0.7627 0.1188 0.5561
Pm 0.8812 0.2373 0.9439
Pm 0.9909 0.4363 0.3117
Y 0.2030 0.3004 0.5473
Y 0.3004 0.2030 0.0473
Y 0.6996 0.7970 0.9527
Y 0.7970 0.6996 0.4527
Tm 0.4115 0.5885 0.2500
Tm 0.5885 0.4115 0.7500